Here is a PBEsol-optimized structure of Sc2Mn from Alexandria via LeMat-Bulk. Energies are from SCAN.

```
Sc2Mn
1.0
1.534 -7.733 0.000
1.534 7.733 0.000
0.000 0.000 4.825
Sc Mn
4 2
Direct
0.061 0.939 0.750
0.367 0.633 0.750
0.633 0.367 0.250
0.939 0.061 0.250
0.280 0.720 0.250
0.720 0.280 0.750
```

Properties
Energy relative to the elements: 0.19 eV per formula unit
Uncorrected energy: -15.512 eV/atom
Calculated volume: 19.1 A^3/atom
Spin magnetization: 2.83 μB per formula unit
Space group: Cmcm, No. 63